Entry from Alexandria via LeMat-Bulk: an optimized crystal structure of BaAcCrO5 (GGA+U).

Geometry as CIF:
```
data_BaAcCrO5
_cell_length_a 7.6212
_cell_length_b 10.4067
_cell_length_c 8.2892
_cell_angle_alpha 90.00
_cell_angle_beta 109.98
_cell_angle_gamma 90.00
_space_group_name_H-M_alt 'C 1 2/c 1'
_space_group_IT_number 15
_space_group_name_Hall '-C 2yc'
loop_
_atom_site_label
_atom_site_type_symbol
_atom_site_fract_x
_atom_site_fract_y
_atom_site_fract_z
Ba1 Ba 0.0000 0.1616 0.2500
Ac1 Ac 0.0000 0.5000 0.0000
Cr1 Cr 0.0000 0.1801 0.7500
O1 O 0.0000 0.3984 0.2500
O2 O 0.1104 0.2810 0.6460
O3 O 0.1474 0.0765 0.8992
```

Computed properties:
* energy: -57.39 eV/f.u.
* magnetic moment: 4.0 μB per cell